#w
# BaMnP2, relaxed, DFT GGA-PBE
# density of states at the Fermi level = 0.631 states/eV/atom
data_BaMnP2
_chemical_formula_sum 'Ba2 Mn2 P4'
_cell_length_a 4.232
_cell_length_b 6.226
_cell_length_c 8.466
_cell_angle_alpha 90.00
_cell_angle_beta 90.00
_cell_angle_gamma 90.00
_space_group_name_H-M_alt 'I m m 2'
_space_group_IT_number 44
loop_
_space_group_symop_operation_xyz
'x,y,z'
'-x,-y,z'
'-x,y,z'
'x,-y,z'
'x+1/2,y+1/2,z+1/2'
'-x+1/2,-y+1/2,z+1/2'
'-x+1/2,y+1/2,z+1/2'
'x+1/2,-y+1/2,z+1/2'
loop_
_atom_site_label
_atom_site_fract_x
_atom_site_fract_y
_atom_site_fract_z
Ba1 0.000 0.000 0.000
Mn1 0.000 0.500 0.965
P1 0.000 0.000 0.384
P2 0.000 0.500 0.211



#x
# BaMnP2, relaxed, DFT GGA-PBE
# density of states at the Fermi level = 0.462 states/eV/atom
data_BaMnP2
_chemical_formula_sum 'Ba3 Mn3 P6'
_cell_length_a 3.9276
_cell_length_b 3.9276
_cell_length_c 19.2153
_cell_angle_alpha 90.00
_cell_angle_beta 90.00
_cell_angle_gamma 120.00
_space_group_name_H-M_alt 'R -3 m'
_space_group_IT_number 166
_space_group_name_Hall '-R 3 2"'
loop_
_atom_site_label
_atom_site_fract_x
_atom_site_fract_y
_atom_site_fract_z
Ba1 0.0000 0.0000 0.0000
Mn1 0.0000 0.0000 0.5000
P1 0.0000 0.0000 0.2184



Q: Which of them is the most stable? A: #x.



#w
# BaMnP2, relaxed, DFT GGA-PBE
# density of states at the Fermi level = 0.666 states/eV/atom
data_BaMnP2
_chemical_formula_sum 'Ba1 Mn1 P2'
_cell_length_a 3.611
_cell_length_b 3.611
_cell_length_c 7.470
_cell_angle_alpha 90.00
_cell_angle_beta 90.00
_cell_angle_gamma 90.00
_space_group_name_H-M_alt 'P 4 m m'
_space_group_IT_number 99
loop_
_space_group_symop_operation_xyz
'x,y,z'
'-y,x,z'
'-x,-y,z'
'y,-x,z'
'-x,y,z'
'y,x,z'
'x,-y,z'
'-y,-x,z'
loop_
_atom_site_label
_atom_site_fract_x
_atom_site_fract_y
_atom_site_fract_z
Ba1 0.000 0.000 0.000
Mn1 0.500 0.500 0.478
P1 0.000 0.000 0.434
P2 0.500 0.500 0.774



#x
# BaMnP2, relaxed, DFT GGA-PBE
# density of states at the Fermi level = 0.624 states/eV/atom
data_BaMnP2
_chemical_formula_sum 'Ba1 Mn1 P2'
_cell_length_a 3.863
_cell_length_b 4.993
_cell_length_c 5.133
_cell_angle_alpha 90.00
_cell_angle_beta 90.00
_cell_angle_gamma 90.00
_space_group_name_H-M_alt 'P m m m'
_space_group_IT_number 47
loop_
_space_group_symop_operation_xyz
'x,y,z'
'-x,-y,-z'
'-x,-y,z'
'x,y,-z'
'x,-y,-z'
'-x,y,z'
'-x,y,-z'
'x,-y,z'
loop_
_atom_site_label
_atom_site_fract_x
_atom_site_fract_y
_atom_site_fract_z
Ba1 0.000 0.000 0.000
Mn1 0.000 0.500 0.500
P1 0.500 0.500 0.226



Q: Which of them is the most stable? A: #x.



#w
# BaMnP2, relaxed, DFT GGA-PBE
# density of states at the Fermi level = 0.877 states/eV/atom
data_BaMnP2
_chemical_formula_sum 'Ba4 Mn4 P8'
_cell_length_a 7.050
_cell_length_b 7.050
_cell_length_c 7.050
_cell_angle_alpha 90.00
_cell_angle_beta 90.00
_cell_angle_gamma 90.00
_space_group_name_H-M_alt 'F -4 3 m'
_space_group_IT_number 216
_space_group_name_Hall 'F -4 2 3'
loop_
_atom_site_label
_atom_site_fract_x
_atom_site_fract_y
_atom_site_fract_z
Ba1 0.000 0.000 0.000
Mn1 0.250 0.250 0.750
P1 0.000 0.000 0.500
P2 0.250 0.250 0.250



#x
# BaMnP2, relaxed, DFT GGA-PBE
# density of states at the Fermi level = 0.202 states/eV/atom
data_BaMnP2
_chemical_formula_sum 'Ba4 Mn4 P8'
_cell_length_a 5.249
_cell_length_b 5.249
_cell_length_c 13.656
_cell_angle_alpha 90.00
_cell_angle_beta 90.00
_cell_angle_gamma 90.00
_space_group_name_H-M_alt 'I 41/a m d'
_space_group_IT_number 141
loop_
_space_group_symop_operation_xyz
'x,y,z'
'-x,-y,-z'
'-y+1/4,x+3/4,z+1/4'
'y+1/4,-x+3/4,-z+1/4'
'-x+1/2,-y,z+1/2'
'x+1/2,y,-z+1/2'
'y+1/4,-x+1/4,z+3/4'
'-y+1/4,x+1/4,-z+3/4'
'x,-y,-z'
'-x,y,z'
'-y+1/4,-x+1/4,-z+3/4'
'y+1/4,x+1/4,z+3/4'
'-x+1/2,y,-z+1/2'
'x+1/2,-y,z+1/2'
'y+1/4,x+3/4,-z+1/4'
'-y+1/4,-x+3/4,z+1/4'
'x+1/2,y+1/2,z+1/2'
'-x+1/2,-y+1/2,-z+1/2'
'-y+3/4,x+1/4,z+3/4'
'y+3/4,-x+1/4,-z+3/4'
'-x,-y+1/2,z'
'x,y+1/2,-z'
'y+3/4,-x+3/4,z+1/4'
'-y+3/4,x+3/4,-z+1/4'
'x+1/2,-y+1/2,-z+1/2'
'-x+1/2,y+1/2,z+1/2'
'-y+3/4,-x+3/4,-z+1/4'
'y+3/4,x+3/4,z+1/4'
'-x,y+1/2,-z'
'x,-y+1/2,z'
'y+3/4,x+1/4,-z+3/4'
'-y+3/4,-x+1/4,z+3/4'
loop_
_atom_site_label
_atom_site_fract_x
_atom_site_fract_y
_atom_site_fract_z
Ba1 0.000 0.250 0.375
Mn1 0.000 0.250 0.875
P1 0.000 0.000 0.000



Q: Which of them is the most stable? A: #x.



#w
# BaMnP2, relaxed, DFT GGA-PBE
# density of states at the Fermi level = 1.517 states/eV/atom
data_BaMnP2
_chemical_formula_sum 'Ba4 Mn4 P8'
_cell_length_a 6.801
_cell_length_b 6.801
_cell_length_c 6.801
_cell_angle_alpha 90.00
_cell_angle_beta 90.00
_cell_angle_gamma 90.00
_space_group_name_H-M_alt 'F m -3 m'
_space_group_IT_number 225
_space_group_name_Hall '-F 4 2 3'
loop_
_atom_site_label
_atom_site_fract_x
_atom_site_fract_y
_atom_site_fract_z
Ba1 0.000 0.000 0.000
Mn1 0.000 0.000 0.500
P1 0.250 0.250 0.250



#x
# BaMnP2, relaxed, DFT GGA-PBE
# density of states at the Fermi level = 0.583 states/eV/atom
data_BaMnP2
_chemical_formula_sum 'Ba1 Mn1 P2'
_cell_length_a 3.535
_cell_length_b 3.535
_cell_length_c 6.604
_cell_angle_alpha 90.00
_cell_angle_beta 90.00
_cell_angle_gamma 90.00
_space_group_name_H-M_alt 'P 4/m m m'
_space_group_IT_number 123
_space_group_name_Hall '-P 4 2'
loop_
_atom_site_label
_atom_site_fract_x
_atom_site_fract_y
_atom_site_fract_z
Ba1 0.000 0.000 0.000
Mn1 0.000 0.000 0.500
P1 0.500 0.500 0.334



Q: Which of them is the most stable? A: #x.



#w
# BaMnP2, relaxed, DFT GGA-PBE
# density of states at the Fermi level = 0.625 states/eV/atom
data_BaMnP2
_chemical_formula_sum 'Ba2 Mn2 P4'
_cell_length_a 6.515
_cell_length_b 7.278
_cell_length_c 3.950
_cell_angle_alpha 90.00
_cell_angle_beta 90.00
_cell_angle_gamma 90.00
_space_group_name_H-M_alt 'C m m m'
_space_group_IT_number 65
_space_group_name_Hall '-C 2 2'
loop_
_atom_site_label
_atom_site_fract_x
_atom_site_fract_y
_atom_site_fract_z
Ba1 0.000 0.000 0.000
Mn1 0.000 0.500 0.000
P1 0.250 0.250 0.500



#x
# BaMnP2, relaxed, DFT GGA-PBE
# density of states at the Fermi level = 0.613 states/eV/atom
data_BaMnP2
_chemical_formula_sum 'Ba2 Mn2 P4'
_cell_length_a 4.283
_cell_length_b 4.283
_cell_length_c 10.227
_cell_angle_alpha 90.00
_cell_angle_beta 90.00
_cell_angle_gamma 90.00
_space_group_name_H-M_alt 'I -4 m 2'
_space_group_IT_number 119
_space_group_name_Hall 'I -4 -2'
loop_
_atom_site_label
_atom_site_fract_x
_atom_site_fract_y
_atom_site_fract_z
Ba1 0.000 0.000 0.000
Mn1 0.000 0.500 0.750
P1 0.000 0.000 0.500
P2 0.000 0.500 0.250



#y
# BaMnP2, relaxed, DFT GGA-PBE
# density of states at the Fermi level = 0.458 states/eV/atom
data_BaMnP2
_chemical_formula_sum 'Ba1 Mn1 P2'
_cell_length_a 4.223
_cell_length_b 4.237
_cell_length_c 5.741
_cell_angle_alpha 90.00
_cell_angle_beta 90.00
_cell_angle_gamma 90.00
_space_group_name_H-M_alt 'P m m m'
_space_group_IT_number 47
loop_
_space_group_symop_operation_xyz
'x,y,z'
'-x,-y,-z'
'-x,-y,z'
'x,y,-z'
'x,-y,-z'
'-x,y,z'
'-x,y,-z'
'x,-y,z'
loop_
_atom_site_label
_atom_site_fract_x
_atom_site_fract_y
_atom_site_fract_z
Ba1 0.000 0.000 0.000
Mn1 0.500 0.500 0.500
P1 0.000 0.000 0.500
P2 0.500 0.500 0.000



Q: Which of them is the most stable? A: #y.



#w
# BaMnP2, relaxed, DFT GGA-PBE
# density of states at the Fermi level = 0.677 states/eV/atom
data_BaMnP2
_chemical_formula_sum 'Ba1 Mn1 P2'
_cell_length_a 4.833
_cell_length_b 4.833
_cell_length_c 4.016
_cell_angle_alpha 90.00
_cell_angle_beta 90.00
_cell_angle_gamma 90.00
_space_group_name_H-M_alt 'P 4/m m m'
_space_group_IT_number 123
_space_group_name_Hall '-P 4 2'
loop_
_atom_site_label
_atom_site_fract_x
_atom_site_fract_y
_atom_site_fract_z
Ba1 0.000 0.000 0.000
Mn1 0.500 0.500 0.000
P1 0.000 0.500 0.500



#x
# BaMnP2, relaxed, DFT GGA-PBE
# density of states at the Fermi level = 0.536 states/eV/atom
data_BaMnP2
_chemical_formula_sum 'Ba1 Mn1 P2'
_cell_length_a 5.410
_cell_length_b 5.410
_cell_length_c 3.155
_cell_angle_alpha 90.00
_cell_angle_beta 90.00
_cell_angle_gamma 90.00
_space_group_name_H-M_alt 'P 4/m m m'
_space_group_IT_number 123
_space_group_name_Hall '-P 4 2'
loop_
_atom_site_label
_atom_site_fract_x
_atom_site_fract_y
_atom_site_fract_z
Ba1 0.000 0.000 0.000
Mn1 0.500 0.500 0.000
P1 0.000 0.500 0.500



Q: Which of them is the most stable? A: #x.